No. 1
The following is a DFT calculation (PBE) of a relaxed Pr4DyY7 crystal.

Values from the calculation:
ΔH_f (0 K), eV/atom: 0.08
Raw total energy, eV per formula unit: -67.97

abc: 6.6185 6.9137 9.1868
angles: 85.20 77.21 81.82
Fractional positions:
1 Pr 0.1438 0.3165 0.2833
2 Pr 0.3343 0.8833 0.6950
3 Pr 0.6657 0.1167 0.3050
4 Pr 0.8562 0.6835 0.7167
5 Dy 0.5000 0.5000 0.0000
6 Y 0.0085 0.2526 0.9526
7 Y 0.1754 0.8090 0.3607
8 Y 0.3165 0.3927 0.6214
9 Y 0.5000 0.0000 0.0000
10 Y 0.6835 0.6073 0.3786
11 Y 0.8246 0.1910 0.6393
12 Y 0.9915 0.7474 0.0474


No. 2
The following is a DFT calculation (PBE) of a relaxed Cd3Cl4 crystal.

Values from the calculation:
Formation energy from raw total energies, eV/atom: -0.616
Raw total energy, eV per formula unit: -14.44

abc: 15.3505 15.3505 15.3505
angles: 167.32 167.32 17.97
Fractional positions:
1 Cd 0.0000 0.0000 0.0000
2 Cd 0.2877 0.2877 0.0000
3 Cd 0.7123 0.7123 0.0000
4 Cl 0.1626 0.1626 0.0000
5 Cl 0.4480 0.4480 0.0000
6 Cl 0.5520 0.5520 0.0000
7 Cl 0.8374 0.8374 0.0000


No. 3
The following is a DFT calculation (PBE) of a relaxed Sm5Y crystal.

Values from the calculation:
ΔH_f (0 K), eV/atom: 0.01
Raw total energy, eV per formula unit: -29.97

abc: 9.5766 9.5766 6.2599
angles: 108.97 108.97 21.80
Fractional positions:
1 Sm 0.0000 0.0000 0.0000
2 Sm 0.1662 0.1662 0.4985
3 Sm 0.3335 0.3335 0.0002
4 Sm 0.6665 0.6665 0.9998
5 Sm 0.8338 0.8338 0.5015
6 Y 0.5000 0.5000 0.5000


No. 4
The following is a DFT calculation (PBE) of a relaxed SnP2CCl crystal.

Values from the calculation:
Formation energy from raw total energies, eV/atom: 2.015
Raw total energy, eV per formula unit: -15.82

abc: 5.1889 5.1889 5.0744
angles: 90.00 90.00 90.00
Fractional positions:
1 Sn 0.0000 0.0000 0.0000
2 P 0.0000 0.5000 0.0000
3 P 0.5000 0.0000 0.0000
4 C 0.5000 0.5000 0.5000
5 Cl 0.0000 0.0000 0.5000


No. 5
The following is a DFT calculation (PBE) of a relaxed AlTlCd crystal.

Values from the calculation:
ΔH_f (0 K), eV/atom: 0.21
Raw total energy, eV per formula unit: -6.40

abc: 7.4367 7.2538 3.2833
angles: 80.22 73.99 25.79
Fractional positions:
1 Al 0.0000 0.0000 0.0000
2 Tl 0.3340 0.3340 0.6660
3 Cd 0.6458 0.6458 0.3542


No. 6
The following is a DFT calculation (PBE) of a relaxed Li2CoCCl crystal.

Values from the calculation:
Formation energy from raw total energies, eV/atom: -0.062
Raw total energy, eV per formula unit: -22.31

abc: 4.4066 4.4066 3.5811
angles: 90.00 90.00 90.00
Fractional positions:
1 Li 0.0000 0.5000 0.0000
2 Li 0.5000 0.0000 0.0000
3 Co 0.0000 0.0000 0.5000
4 C 0.0000 0.0000 0.0000
5 Cl 0.5000 0.5000 0.5000


No. 7
The following is a DFT calculation (PBE) of a relaxed AlSiAu crystal.

Values from the calculation:
Formation energy from raw total energies, eV/atom: -0.092
Raw total energy, eV per formula unit: -12.72

abc: 4.2971 4.2971 7.0073
angles: 103.87 103.87 60.55
Fractional positions:
1 Al 0.0000 0.0000 0.0000
2 Al 0.5443 0.5443 0.4883
3 Si 0.2786 0.2786 0.7302
4 Si 0.3593 0.3593 0.0956
5 Au 0.7214 0.7214 0.1952
6 Au 0.9177 0.9177 0.6216


No. 8
The following is a DFT calculation (PBE) of a relaxed SrNiH2 crystal.

Values from the calculation:
Raw total energy, eV per formula unit: -15.15

abc: 4.9286 4.9286 4.9286
angles: 49.75 49.75 49.75
Fractional positions:
1 Sr 0.0000 0.0000 0.0000
2 Ni 0.5000 0.5000 0.5000
3 H 0.3813 0.3813 0.3813
4 H 0.6187 0.6187 0.6187


No. 9
The following is a DFT calculation (PBE) of a relaxed ZnSiPb3 crystal.

Values from the calculation:
Formation energy from raw total energies, eV/atom: 0.682
Raw total energy, eV per formula unit: -14.41

abc: 5.3386 5.3386 5.3386
angles: 90.00 90.00 90.00
Fractional positions:
1 Zn 0.0000 0.0000 0.0000
2 Si 0.5000 0.5000 0.5000
3 Pb 0.0000 0.0000 0.5000
4 Pb 0.0000 0.5000 0.0000
5 Pb 0.5000 0.0000 0.0000


No. 10
The following is a DFT calculation (PBE) of a relaxed Tl2Re2Ag crystal.

Values from the calculation:
ΔH_f (0 K), eV/atom: 0.79
Raw total energy, eV per formula unit: -28.54

abc: 9.4490 9.4490 9.4490
angles: 158.49 158.49 30.60
Fractional positions:
1 Tl 0.1080 0.1080 0.0000
2 Tl 0.8920 0.8920 0.0000
3 Re 0.2500 0.7500 0.5000
4 Re 0.7500 0.2500 0.5000
5 Ag 0.5000 0.5000 0.0000


No. 11
The following is a DFT calculation (PBE) of a relaxed TbDy5Se6 crystal.

Values from the calculation:
Formation energy from raw total energies, eV/atom: -1.754
Raw total energy, eV per formula unit: -69.60

abc: 7.0790 7.0790 7.0464
angles: 99.65 99.65 120.16
Fractional positions:
1 Tb 0.0000 0.0000 0.0000
2 Dy 0.1656 0.8344 0.5000
3 Dy 0.3336 0.6664 0.0000
4 Dy 0.5000 0.5000 0.5000
5 Dy 0.6664 0.3336 0.0000
6 Dy 0.8344 0.1656 0.5000
7 Se 0.0835 0.4184 0.2509
8 Se 0.2513 0.2513 0.7499
9 Se 0.4184 0.0835 0.2509
10 Se 0.5816 0.9165 0.7491
11 Se 0.7487 0.7487 0.2501
12 Se 0.9165 0.5816 0.7491


No. 12
The following is a DFT calculation (PBE) of a relaxed Y2BOsN crystal.

Values from the calculation:
Formation energy from raw total energies, eV/atom: 0.574
Raw total energy, eV per formula unit: -36.29

abc: 5.4228 5.4228 3.7056
angles: 90.00 90.00 90.00
Fractional positions:
1 Y 0.0000 0.5000 0.0000
2 Y 0.5000 0.0000 0.0000
3 B 0.0000 0.0000 0.5000
4 Os 0.5000 0.5000 0.0000
5 N 0.5000 0.5000 0.5000


No. 13
The following is a DFT calculation (PBE) of a relaxed CaTmIn2 crystal.

Values from the calculation:
ΔH_f (0 K), eV/atom: -0.45
Raw total energy, eV per formula unit: -13.75

abc: 3.7682 3.7682 7.6352
angles: 90.00 90.00 90.00
Fractional positions:
1 Ca 0.0000 0.0000 0.0000
2 Tm 0.0000 0.0000 0.5000
3 In 0.5000 0.5000 0.2607
4 In 0.5000 0.5000 0.7393


No. 14
The following is a DFT calculation (PBE) of a relaxed BaGeN crystal.

Values from the calculation:
Formation energy from raw total energies, eV/atom: -0.492
Raw total energy, eV per formula unit: -16.34

abc: 4.2994 4.2994 9.2647
angles: 100.11 100.11 58.95
Fractional positions:
1 Ba 0.0823 0.0823 0.3034
2 Ba 0.9177 0.9177 0.6966
3 Ge 0.3199 0.3199 0.9500
4 Ge 0.6801 0.6801 0.0500
5 N 0.4216 0.4216 0.4621
6 N 0.5784 0.5784 0.5379


No. 15
The following is a DFT calculation (PBE) of a relaxed CaCeAlAu crystal.

Values from the calculation:
ΔH_f (0 K), eV/atom: -0.43
Raw total energy, eV per formula unit: -16.69

abc: 5.2176 5.2176 5.2176
angles: 60.00 60.00 60.00
Fractional positions:
1 Ca 0.0000 0.0000 0.0000
2 Ce 0.5000 0.5000 0.5000
3 Al 0.2500 0.2500 0.2500
4 Au 0.7500 0.7500 0.7500


No. 16
The following is a DFT calculation (PBE) of a relaxed CrCu2Bi crystal.

Values from the calculation:
ΔH_f (0 K), eV/atom: 0.56
Raw total energy, eV per formula unit: -19.47

abc: 9.7776 9.7776 9.7776
angles: 156.50 156.50 33.47
Fractional positions:
1 Cr 0.0000 0.0000 0.0000
2 Cr 0.7500 0.2500 0.5000
3 Cu 0.0781 0.6250 0.9531
4 Cu 0.3750 0.3281 0.4531
5 Cu 0.6719 0.1250 0.0469
6 Cu 0.8750 0.9219 0.5469
7 Bi 0.2500 0.7500 0.5000
8 Bi 0.5000 0.5000 0.0000


No. 17
The following is a DFT calculation (PBE) of a relaxed CaHfPO2 crystal.

Values from the calculation:
Formation energy from raw total energies, eV/atom: -0.511
Raw total energy, eV per formula unit: -29.84

abc: 4.0825 4.0825 5.2708
angles: 90.00 90.00 90.00
Fractional positions:
1 Ca 0.0000 0.0000 0.0000
2 Hf 0.5000 0.5000 0.5000
3 P 0.0000 0.0000 0.5000
4 O 0.0000 0.5000 0.0000
5 O 0.5000 0.0000 0.0000


No. 18
The following is a DFT calculation (PBE) of a relaxed LaY3Si crystal.

Values from the calculation:
Formation energy from raw total energies, eV/atom: 1.085
Raw total energy, eV per formula unit: -24.32

abc: 5.4912 5.4912 5.4912
angles: 90.00 90.00 90.00
Fractional positions:
1 La 0.0000 0.0000 0.0000
2 Y 0.0000 0.0000 0.5000
3 Y 0.0000 0.5000 0.0000
4 Y 0.5000 0.0000 0.0000
5 Si 0.5000 0.5000 0.5000


No. 19
The following is a DFT calculation (PBE) of a relaxed Dy8ZnNi2 crystal.

Values from the calculation:
ΔH_f (0 K), eV/atom: -0.10
Raw total energy, eV per formula unit: -50.74

abc: 7.7910 7.7910 5.4206
angles: 97.86 97.86 114.73
Fractional positions:
1 Dy 0.0000 0.0000 0.0000
2 Dy 0.0487 0.3055 0.6075
3 Dy 0.1421 0.6227 0.1913
4 Dy 0.3055 0.0487 0.6075
5 Dy 0.4594 0.7163 0.7747
6 Dy 0.6227 0.1421 0.1913
7 Dy 0.7163 0.4594 0.7747
8 Dy 0.7645 0.7645 0.3822
9 Zn 0.3819 0.3819 0.1928
10 Ni 0.0792 0.6861 0.6913
11 Ni 0.6861 0.0792 0.6913


No. 20
The following is a DFT calculation (PBE) of a relaxed LiHo2Sb crystal.

Values from the calculation:
Formation energy from raw total energies, eV/atom: -0.371
Raw total energy, eV per formula unit: -16.67

abc: 7.1928 7.1928 7.1928
angles: 34.67 34.67 34.67
Fractional positions:
1 Li 0.0000 0.0000 0.0000
2 Ho 0.2198 0.2198 0.2198
3 Ho 0.4233 0.4233 0.4233
4 Sb 0.6504 0.6504 0.6504


No. 21
The following is a DFT calculation (PBE) of a relaxed K2CaPb2 crystal.

Values from the calculation:
ΔH_f (0 K), eV/atom: 0.02
Raw total energy, eV per formula unit: -11.53

abc: 10.1349 10.1349 3.6422
angles: 90.00 90.00 90.00
Fractional positions:
1 K 0.1203 0.3797 0.0000
2 K 0.3797 0.8797 0.0000
3 K 0.6203 0.1203 0.0000
4 K 0.8797 0.6203 0.0000
5 Ca 0.0000 0.0000 0.0000
6 Ca 0.5000 0.5000 0.0000
7 Pb 0.1787 0.6787 0.5000
8 Pb 0.3213 0.1787 0.5000
9 Pb 0.6787 0.8213 0.5000
10 Pb 0.8213 0.3213 0.5000


No. 22
The following is a DFT calculation (PBE) of a relaxed TlH3Cl crystal.

Values from the calculation:
Raw total energy, eV per formula unit: -16.17

abc: 11.9238 11.9238 4.4281
angles: 90.58 90.58 21.03
Fractional positions:
1 Tl 0.1158 0.1158 0.2963
2 Tl 0.8842 0.8842 0.7037
3 H 0.2463 0.2463 0.7069
4 H 0.2688 0.2688 0.8290
5 H 0.4866 0.4866 0.4518
6 H 0.5134 0.5134 0.5482
7 H 0.7312 0.7312 0.1710
8 H 0.7537 0.7537 0.2931
9 Cl 0.3750 0.3750 0.1947
10 Cl 0.6250 0.6250 0.8053


No. 23
The following is a DFT calculation (PBE) of a relaxed HoAlSi2Ni4 crystal.

Values from the calculation:
Formation energy from raw total energies, eV/atom: -0.608
Raw total energy, eV per formula unit: -47.15

abc: 8.4674 8.4674 8.4674
angles: 26.95 26.95 26.95
Fractional positions:
1 Ho 0.0000 0.0000 0.0000
2 Al 0.5000 0.5000 0.5000
3 Si 0.2436 0.2436 0.2436
4 Si 0.7564 0.7564 0.7564
5 Ni 0.1323 0.1323 0.1323
6 Ni 0.4061 0.4061 0.4061
7 Ni 0.5939 0.5939 0.5939
8 Ni 0.8677 0.8677 0.8677


No. 24
The following is a DFT calculation (PBE) of a relaxed Ac4Pr2Sm3 crystal.

Values from the calculation:
ΔH_f (0 K), eV/atom: 0.04
Raw total energy, eV per formula unit: -39.80

abc: 5.4404 6.5443 11.4056
angles: 74.20 89.98 65.51
Fractional positions:
1 Ac 0.0040 0.4918 0.3340
2 Ac 0.3337 0.8324 0.1113
3 Ac 0.6663 0.1676 0.8887
4 Ac 0.9960 0.5082 0.6660
5 Pr 0.3292 0.8416 0.7728
6 Pr 0.6708 0.1584 0.2272
7 Sm 0.0000 0.5000 0.0000
8 Sm 0.3352 0.8298 0.4487
9 Sm 0.6648 0.1702 0.5513


No. 25
The following is a DFT calculation (PBE) of a relaxed Sr3Ca2 crystal.

Values from the calculation:
ΔH_f (0 K), eV/atom: 0.23
Raw total energy, eV per formula unit: -7.88

abc: 9.2478 9.2325 8.5561
angles: 62.51 62.33 55.16
Fractional positions:
1 Sr 0.0000 0.0000 0.0000
2 Sr 0.0223 0.4662 0.8463
3 Sr 0.2500 0.2500 0.2500
4 Sr 0.4037 0.5847 0.2277
5 Sr 0.4662 0.0223 0.6653
6 Sr 0.5847 0.4037 0.7838
7 Ca 0.1964 0.8259 0.5910
8 Ca 0.6590 0.8634 0.0536
9 Ca 0.8259 0.1964 0.3866
10 Ca 0.8634 0.6590 0.4241


No. 26
The following is a DFT calculation (PBE) of a relaxed Fe3CuP crystal.

Values from the calculation:
ΔH_f (0 K), eV/atom: 0.43
Raw total energy, eV per formula unit: -32.74

abc: 4.1537 4.1537 4.1537
angles: 90.00 90.00 90.00
Fractional positions:
1 Fe 0.0000 0.0000 0.5000
2 Fe 0.0000 0.5000 0.0000
3 Fe 0.5000 0.0000 0.0000
4 Cu 0.5000 0.5000 0.5000
5 P 0.0000 0.0000 0.0000